1.
Computed, not measured: a relaxed structure of Pm4Dy3Se8 at the PBE level of DFT.

Cell lengths 8.142, 8.142, 8.954 Å; angles 62.96, 62.96, 60.00 degrees
Positions (direct):
Pm1 0.000 0.000 0.000
Pm2 0.500 0.500 0.500
Pm3 0.354 0.354 0.938
Pm4 0.646 0.646 0.062
Dy1 0.000 0.000 0.500
Dy2 0.500 0.000 0.500
Dy3 0.000 0.500 0.500
Se1 0.232 0.232 0.305
Se2 0.763 0.250 0.737
Se3 0.750 0.750 0.263
Se4 0.768 0.768 0.695
Se5 0.750 0.237 0.263
Se6 0.250 0.763 0.737
Se7 0.250 0.250 0.737
Se8 0.237 0.750 0.263

Properties
Raw total energy in eV per atom: -5.671
Energy above the most stable polymorph in this dataset in kcal/mol of atoms: 5.16
Density of states at the Fermi level in states/eV/atom: 0.445
Space group: R-3m

2.
Computed, not measured: a relaxed structure of CdHgP2 at the PBE level of DFT.

Cell lengths 5.300, 5.300, 5.300 Å; angles 132.58, 132.58, 69.32 degrees
Positions (direct):
Cd1 0.250 0.750 0.500
P1 0.000 0.000 0.000
P2 0.500 0.500 0.000
Hg1 0.750 0.250 0.500

Properties
Formation energy in eV per atom: 0.609
Raw total energy in eV per atom: -2.400
Energy above the most stable polymorph in this dataset in kcal/mol of atoms: 12.91
Density of states at the Fermi level in states/eV/atom: 0.638
Space group: I4/mmm

Question: The lowest density of states at the Fermi level belongs to which entry?
Answer: Pm4Dy3Se8

Please write out number 1 again, unchanged.
Computed, not measured: a relaxed structure of Pm4Dy3Se8 at the PBE level of DFT.

Cell lengths 8.142, 8.142, 8.954 Å; angles 62.96, 62.96, 60.00 degrees
Positions (direct):
Pm1 0.000 0.000 0.000
Pm2 0.500 0.500 0.500
Pm3 0.354 0.354 0.938
Pm4 0.646 0.646 0.062
Dy1 0.000 0.000 0.500
Dy2 0.500 0.000 0.500
Dy3 0.000 0.500 0.500
Se1 0.232 0.232 0.305
Se2 0.763 0.250 0.737
Se3 0.750 0.750 0.263
Se4 0.768 0.768 0.695
Se5 0.750 0.237 0.263
Se6 0.250 0.763 0.737
Se7 0.250 0.250 0.737
Se8 0.237 0.750 0.263

Properties
Raw total energy in eV per atom: -5.671
Energy above the most stable polymorph in this dataset in kcal/mol of atoms: 5.16
Density of states at the Fermi level in states/eV/atom: 0.445
Space group: R-3m

Question: Which value of density of states at the Fermi level does entry 2 give?
Answer: 0.638 states/eV/atom

Question: density of states at the Fermi level of number 1 (Pm4Dy3Se8)?
Answer: 0.445 states/eV/atom